(1)
Below is a relaxed LaYOF2 crystal, with properties calculated at the GGA-PBEsol level.

Cell lengths 4.409, 4.409, 4.397 Å; angles 90.00, 90.00, 90.00 degrees
Sites, in units of the cell vectors:
La (0.000, 0.000, 0.000)
Y (0.500, 0.500, 0.500)
O (0.500, 0.500, 0.000)
F (0.000, 0.500, 0.500)
F (0.500, 0.000, 0.500)

## Properties
Formation energy without anion corrections, eV per atom: -2.7432
Symmetry: P4/mmm, No. 123
Total DFT energy (no corrections), eV/atom: -6.998



(2)
Below is a relaxed LiHgTe3 crystal, with properties calculated at the GGA-PBEsol level.

Cell lengths 5.074, 5.074, 5.074 Å; angles 90.00, 90.00, 90.00 degrees
Sites, in units of the cell vectors:
Li (0.000, 0.000, 0.000)
Hg (0.500, 0.500, 0.500)
Te (0.000, 0.000, 0.500)
Te (0.000, 0.500, 0.000)
Te (0.500, 0.000, 0.000)

## Properties
Formation energy without anion corrections, eV per atom: 0.2249
Symmetry: Pm-3m, No. 221
Total DFT energy (no corrections), eV/atom: -2.397



(3)
Below is a relaxed TaAgSb crystal, with properties calculated at the GGA-PBEsol level.

Cell lengths 3.076, 3.076, 7.169 Å; angles 90.00, 90.00, 120.00 degrees
Sites, in units of the cell vectors:
Ta (0.000, 0.000, 0.000)
Ag (0.333, 0.667, 0.684)
Sb (0.667, 0.333, 0.325)

## Properties
Distance to the lowest polymorph of the same formula, kcal/mol of atoms: 0.000
Formation energy without anion corrections, eV per atom: 0.2903
Symmetry: P3m1, No. 156
Total DFT energy (no corrections), eV/atom: -6.516



(4)
Below is a relaxed Ta3W crystal, with properties calculated at the GGA-PBEsol level.

Cell lengths 2.814, 4.587, 5.363 Å; angles 90.00, 100.16, 90.00 degrees
Sites, in units of the cell vectors:
Ta (0.000, 0.000, 0.000)
Ta (0.262, 0.500, 0.746)
Ta (0.738, 0.500, 0.254)
W (0.500, 0.000, 0.500)

## Properties
Symmetry: P2/m, No. 10
Total DFT energy (no corrections), eV/atom: -12.902



(5)
Below is a relaxed InPt7 crystal, with properties calculated at the GGA-PBEsol level.

Cell lengths 5.588, 5.588, 5.588 Å; angles 60.00, 60.00, 60.00 degrees
Sites, in units of the cell vectors:
In (0.000, 0.000, 0.000)
Pt (0.000, 0.000, 0.500)
Pt (0.000, 0.500, 0.000)
Pt (0.000, 0.500, 0.500)
Pt (0.500, 0.000, 0.000)
Pt (0.500, 0.000, 0.500)
Pt (0.500, 0.500, 0.000)
Pt (0.500, 0.500, 0.500)

## Properties
Symmetry: Fm-3m, No. 225
Total DFT energy (no corrections), eV/atom: -6.646



(6)
Below is a relaxed In3Pb crystal, with properties calculated at the GGA-PBEsol level.

Cell lengths 3.352, 3.352, 10.988 Å; angles 90.00, 90.00, 120.00 degrees
Sites, in units of the cell vectors:
In (0.000, 0.000, 0.000)
In (0.667, 0.333, 0.242)
In (0.667, 0.333, 0.758)
Pb (0.000, 0.000, 0.500)

## Properties
Symmetry: P-6m2, No. 187
Total DFT energy (no corrections), eV/atom: -3.214



(7)
Below is a relaxed BaSrZnWO6 crystal, with properties calculated at the GGA-PBEsol level.

Cell lengths 5.676, 5.676, 5.676 Å; angles 60.00, 60.00, 60.00 degrees
Sites, in units of the cell vectors:
Ba (0.000, 0.000, 0.000)
Sr (0.500, 0.500, 0.500)
Zn (0.250, 0.250, 0.250)
W (0.750, 0.750, 0.750)
O (0.510, 0.510, 0.990)
O (0.510, 0.990, 0.510)
O (0.510, 0.990, 0.990)
O (0.990, 0.510, 0.510)
O (0.990, 0.510, 0.990)
O (0.990, 0.990, 0.510)

## Properties
Formation energy without anion corrections, eV per atom: -2.4649
Symmetry: F-43m, No. 216
Total DFT energy (no corrections), eV/atom: -7.552



(8)
Below is a relaxed FeHgRu crystal, with properties calculated at the GGA-PBEsol level.

Cell lengths 2.776, 2.776, 6.625 Å; angles 90.00, 90.00, 120.00 degrees
Sites, in units of the cell vectors:
Fe (0.000, 0.000, 0.000)
Hg (0.333, 0.667, 0.652)
Ru (0.667, 0.333, 0.281)

## Properties
Distance to the lowest polymorph of the same formula, kcal/mol of atoms: 1.942
Symmetry: P3m1, No. 156
Total DFT energy (no corrections), eV/atom: -6.147



(9)
Below is a relaxed BaMn2Se crystal, with properties calculated at the GGA-PBEsol level.

Cell lengths 4.089, 4.089, 6.173 Å; angles 109.26, 109.26, 59.93 degrees
Sites, in units of the cell vectors:
Ba (0.000, 0.000, 0.000)
Mn (0.179, 0.179, 0.538)
Mn (0.821, 0.821, 0.462)
Se (0.500, 0.500, 0.500)

## Properties
Formation energy without anion corrections, eV per atom: 0.0930
Symmetry: C2/m, No. 12
Total DFT energy (no corrections), eV/atom: -6.287



(10)
Below is a relaxed Y2MnZn crystal, with properties calculated at the GGA-PBEsol level.

Cell lengths 4.827, 4.827, 4.827 Å; angles 60.00, 60.00, 60.00 degrees
Sites, in units of the cell vectors:
Y (0.000, 0.000, 0.000)
Y (0.250, 0.250, 0.250)
Mn (0.750, 0.750, 0.750)
Zn (0.500, 0.500, 0.500)

## Properties
Symmetry: F-43m, No. 216
Total DFT energy (no corrections), eV/atom: -6.033



(11)
Below is a relaxed IrW crystal, with properties calculated at the GGA-PBEsol level.

Cell lengths 2.760, 2.760, 9.061 Å; angles 90.00, 90.00, 120.00 degrees
Sites, in units of the cell vectors:
Ir (0.333, 0.667, 0.373)
Ir (0.667, 0.333, 0.627)
W (0.333, 0.667, 0.864)
W (0.667, 0.333, 0.136)

## Properties
Distance to the lowest polymorph of the same formula, kcal/mol of atoms: 6.403
Symmetry: P-3m1, No. 164
Total DFT energy (no corrections), eV/atom: -11.853



(12)
Below is a relaxed MnC2O6 crystal, with properties calculated at the GGA-PBEsol level.

Cell lengths 5.940, 5.940, 5.940 Å; angles 45.37, 45.37, 45.37 degrees
Sites, in units of the cell vectors:
Mn (0.000, 0.000, 0.000)
C (0.267, 0.267, 0.267)
C (0.733, 0.733, 0.733)
O (0.004, 0.229, 0.563)
O (0.229, 0.563, 0.004)
O (0.437, 0.996, 0.771)
O (0.563, 0.004, 0.229)
O (0.771, 0.437, 0.996)
O (0.996, 0.771, 0.437)

## Properties
Distance to the lowest polymorph of the same formula, kcal/mol of atoms: 0.000
Formation energy without anion corrections, eV per atom: -1.3495
Symmetry: R-3, No. 148
Total DFT energy (no corrections), eV/atom: -8.077